RbSn4Ge2: relaxed, PBE.

Calculated volume (Å³/f.u.): 204.5
ΔH_f (0 K) (eV per atom): 0.018
Total energy (eV per atom): -3.73
SG: No. 136
D(E_F) (states/eV per cell): 5.5

abc: 9.1100 9.1100 4.9273
angles: 90.00 90.00 90.00
With the nearest neighbours (Å) after each atom.
Fractional coordinates of all 14 atoms:
Rb (0.0000, 0.0000, 0.0000)  6 Ge 3.50-3.84
Rb (0.5000, 0.5000, 0.5000)  6 Ge 3.50-3.84
Sn (0.0740, 0.3350, 0.5000)  3 Ge 2.92-3.11
Sn (0.1650, 0.5740, 0.0000)  3 Ge 2.92-3.11
Sn (0.3350, 0.0740, 0.5000)  3 Ge 2.92-3.11
Sn (0.4260, 0.8350, 0.0000)  3 Ge 2.92-3.11
Sn (0.5740, 0.1650, 0.0000)  3 Ge 2.92-3.11
Sn (0.6650, 0.9260, 0.5000)  3 Ge 2.92-3.11
Sn (0.8350, 0.4260, 0.0000)  3 Ge 2.92-3.11
Sn (0.9260, 0.6650, 0.5000)  3 Ge 2.92-3.11
Ge (0.2282, 0.7718, 0.5000)  6 Sn 2.92-3.11
Ge (0.2718, 0.2718, 0.0000)  6 Sn 2.92-3.11
Ge (0.7282, 0.7282, 0.0000)  6 Sn 2.92-3.11
Ge (0.7718, 0.2282, 0.5000)  6 Sn 2.92-3.11